The following is a DFT calculation (GGA-PBEsol) of an optimized crystal structure of La3Tl.

Values from the calculation:
D(E_F) = 19.69 states/eV/cell
E = -78.13 eV per cell
Symmetry = No. 62
Formation enthalpy at 0 K = -0.2156 eV/atom

Cell: 6.455 11.284 6.888 Å, 90.00 90.00 90.00°
Sites, in units of the cell vectors:
La 0.050 0.250 0.132
La 0.221 0.531 0.393
La 0.221 0.969 0.393
La 0.279 0.031 0.893
La 0.279 0.469 0.893
La 0.450 0.750 0.632
La 0.550 0.250 0.368
La 0.721 0.531 0.107
La 0.721 0.969 0.107
La 0.779 0.031 0.607
La 0.779 0.469 0.607
La 0.950 0.750 0.868
Tl 0.107 0.250 0.616
Tl 0.393 0.750 0.116
Tl 0.607 0.250 0.884
Tl 0.893 0.750 0.384